Entry 1:
A relaxed structure of DyMgGa. Source: the Alexandria database, functional GGA-PBEsol.

Structure (POSCAR):
```
DyMgGa
1.0
7.184 0.000 0.000
-3.592 6.221 0.000
0.000 0.000 4.380
Dy Mg Ga
3 3 3
direct
0.000 0.426 0.000
0.426 0.000 0.000
0.574 0.574 0.000
0.000 0.756 0.500
0.244 0.244 0.500
0.756 0.000 0.500
0.000 0.000 0.000
0.333 0.667 0.500
0.667 0.333 0.500
```



Entry 2:
A relaxed structure of Dy2MgGa. Source: the Alexandria database, functional GGA-PBEsol.

Structure (POSCAR):
```
Dy2MgGa
1.0
0.000 3.594 3.594
3.594 0.000 3.594
3.594 3.594 0.000
Dy Mg Ga
2 1 1
direct
0.250 0.250 0.250
0.750 0.750 0.750
0.000 0.000 0.000
0.500 0.500 0.500
```



Entry 3:
A relaxed structure of Dy3Ga2Ni6. Source: the Alexandria database, functional GGA-PBEsol.

Structure (POSCAR):
```
Dy3Ga2Ni6
1.0
-4.369 4.369 4.369
4.369 -4.369 4.369
4.369 4.369 -4.369
Dy Ga Ni
6 4 12
direct
0.000 0.290 0.290
0.000 0.710 0.710
0.290 0.000 0.290
0.290 0.290 0.000
0.710 0.000 0.710
0.710 0.710 0.000
0.000 0.000 0.500
0.000 0.500 0.000
0.500 0.000 0.000
0.500 0.500 0.500
0.000 0.339 0.661
0.000 0.661 0.339
0.323 0.661 0.661
0.339 0.000 0.661
0.339 0.339 0.677
0.339 0.661 0.000
0.339 0.677 0.339
0.661 0.000 0.339
0.661 0.323 0.661
0.661 0.339 0.000
0.661 0.661 0.323
0.677 0.339 0.339
```



Entry 4:
A relaxed structure of Dy6GaNi2. Source: the Alexandria database, functional GGA-PBEsol.

Structure (POSCAR):
```
Dy6GaNi2
1.0
-4.510 4.708 4.914
4.510 -4.708 4.914
4.510 4.708 -4.914
Dy Ga Ni
12 2 4
direct
0.040 0.235 0.805
0.181 0.287 0.468
0.181 0.713 0.894
0.326 0.020 0.693
0.326 0.633 0.307
0.430 0.235 0.195
0.570 0.765 0.805
0.674 0.367 0.693
0.674 0.980 0.307
0.819 0.287 0.106
0.819 0.713 0.532
0.960 0.765 0.195
0.000 0.000 0.000
0.500 0.500 0.000
0.123 0.623 0.500
0.349 0.000 0.349
0.651 0.000 0.651
0.877 0.377 0.500
```



Entry 5:
A relaxed structure of Dy2GaNi2. Source: the Alexandria database, functional GGA-PBEsol.

Structure (POSCAR):
```
Dy2GaNi2
1.0
-2.072 2.626 4.038
2.072 -2.626 4.038
2.072 2.626 -4.038
Dy Ga Ni
2 1 2
direct
0.202 0.202 0.000
0.798 0.798 0.000
0.500 0.000 0.500
0.233 0.500 0.733
0.767 0.500 0.267
```



Entry 6:
A relaxed structure of DyGa3Ni2. Source: the Alexandria database, functional GGA-PBEsol.

Structure (POSCAR):
```
DyGa3Ni2
1.0
5.138 0.000 0.000
-2.569 4.449 0.000
0.000 0.000 3.950
Dy Ga Ni
1 3 2
direct
0.000 0.000 0.000
0.000 0.500 0.500
0.500 0.000 0.500
0.500 0.500 0.500
0.333 0.667 0.000
0.667 0.333 0.000
```



Listing calculated formation energy for the structures above in their given order: -511.9, -353.0, -583.6, -364.8, -594.9, -618.6 meV/atom.